No. 1
Material: LiCdCoSb
Method: DFT, PBE
State: relaxed

Output
space-group type: No. 216
energy above the most stable polymorph in this dataset: 0.0000 eV per atom

Geometry as extended XYZ:
```
4
Lattice="-2.671 -1.905 3.081 -3.493 2.291 1.675 -4.202 -1.189 -1.091" Properties=species:S:1:pos:R:3 pbc="T T T"
Co -7.775 -0.602 2.749
Sb 0.000 0.000 0.000
Li -2.592 -0.201 0.916
Cd -5.183 -0.401 1.832
```


No. 2
Material: KZrPb
Method: DFT, PBE
State: relaxed

Output
space-group type: No. 216
energy above the most stable polymorph in this dataset: 0.6331 eV per atom

Geometry as extended XYZ:
```
3
Lattice="0.000 3.722 3.722 3.722 0.000 3.722 3.722 3.722 0.000" Properties=species:S:1:pos:R:3 pbc="T T T"
Pb 1.861 1.861 1.861
K 0.000 0.000 0.000
Zr 5.583 5.583 5.583
```


No. 3
Material: Lu4AsC2S
Method: DFT, PBE
State: relaxed

Output
space-group type: No. 187
raw total energy: -53.8 eV/f.u.

Geometry as extended XYZ:
```
8
Lattice="-0.501 1.659 3.139 -2.384 -2.418 -1.151 6.680 -9.478 6.074" Properties=species:S:1:pos:R:3 pbc="T T T"
C 3.188 -8.075 4.775
Lu 2.396 -3.400 2.179
S 2.211 -4.439 4.746
Lu 4.477 -7.654 6.806
Lu 4.283 -6.078 3.895
C -0.021 -3.521 1.857
Lu -0.055 -1.224 2.686
As 0.000 0.000 0.000
```


No. 4
Material: H11PtC16S2N3ClO3F3
Method: DFT, PBE
State: relaxed

Output
space-group type: No. 2
raw total energy: -258.0 eV/f.u.

Geometry as extended XYZ:
```
80
Lattice="7.368 0.000 0.000 1.545 9.854 0.000 2.434 3.086 12.285" Properties=species:S:1:pos:R:3 pbc="T T T"
F 4.191 9.481 2.260
C 5.483 9.840 7.405
C 3.888 4.857 6.880
C 8.433 6.562 0.347
C 1.978 3.009 7.538
C 5.863 3.100 4.880
Pt 2.497 5.668 4.334
H 4.971 2.489 4.999
O 1.133 2.218 2.580
H 6.265 8.844 9.150
H 4.356 6.305 2.238
N 9.051 6.705 9.894
O 8.238 10.894 8.266
C 4.078 4.059 8.002
C 8.492 6.268 1.712
C 7.269 8.881 4.283
H 8.579 2.277 7.773
H 4.626 10.103 10.868
C 7.896 6.273 11.964
O 8.131 9.582 10.350
H 5.082 4.096 3.135
N 3.205 8.299 7.824
N 2.796 4.743 6.102
C 3.130 0.778 1.732
N 2.296 6.235 2.391
C 4.675 9.873 11.930
C 8.217 12.162 10.553
C 5.920 4.000 3.826
C 8.065 3.785 5.525
H 1.445 3.279 0.159
N 8.551 8.198 6.183
H 4.612 5.608 6.578
F 7.156 3.459 10.024
F 2.699 0.870 0.449
C 3.282 9.155 6.760
C 6.937 3.009 5.756
H 6.376 10.451 7.286
H 6.838 9.847 12.087
C 7.459 8.083 5.405
F 4.489 0.694 1.724
H 8.139 10.455 3.069
H 9.902 9.661 12.126
C 2.855 6.672 10.573
H 6.359 8.756 3.701
C 7.910 6.545 10.612
C 2.914 6.378 11.938
C 8.243 9.813 3.941
S 2.583 2.274 2.675
H 6.735 7.332 5.706
C 3.451 6.668 0.321
H 4.448 10.590 5.662
S 8.764 10.666 9.610
H 6.721 2.837 1.417
C 1.845 3.818 6.416
C 6.672 3.067 0.355
H 4.509 3.093 0.197
C 4.409 9.932 6.529
Pt 8.850 7.272 7.950
Cl 4.374 6.979 4.543
C 7.070 4.777 3.656
O 10.214 10.722 9.705
N 8.142 4.641 4.461
Cl 6.973 5.961 7.742
C 3.104 3.127 8.344
C 4.277 8.163 8.629
S 4.413 6.896 9.821
H 4.988 4.184 8.584
H 6.991 6.635 10.047
C 3.437 6.395 1.673
C 5.427 8.940 8.459
F 6.857 12.246 10.560
C 9.502 9.122 5.868
O 3.109 2.046 4.019
H 6.899 2.350 6.623
S 6.934 6.044 2.463
O 3.216 3.358 1.934
H 3.208 2.485 9.216
C 9.369 9.931 4.747
F 8.648 12.070 11.836
H 2.768 10.663 4.512
```


No. 5
Material: LiB4Os
Method: DFT, PBE
State: relaxed

Output
space-group type: No. 191
energy above the most stable polymorph in this dataset: 0.2174 eV per atom

Geometry as extended XYZ:
```
6
Lattice="-2.034 1.079 -1.840 0.896 -2.794 -0.270 -5.079 -2.054 4.409" Properties=species:S:1:pos:R:3 pbc="T T T"
B -4.847 -1.745 1.974
B -1.369 -2.024 0.326
Os -2.539 -1.027 2.204
B -2.346 -0.733 -0.198
B -3.870 -3.036 2.497
Li 0.000 0.000 0.000
```


No. 6
Material: FeNiAsOs
Method: DFT, PBE
State: relaxed

Output
space-group type: No. 216
energy above the most stable polymorph in this dataset: 0.0000 eV per atom

Geometry as extended XYZ:
```
4
Lattice="0.000 2.937 2.937 2.937 0.000 2.937 2.937 2.937 0.000" Properties=species:S:1:pos:R:3 pbc="T T T"
Os 1.468 1.468 1.468
Fe 4.405 4.405 4.405
Ni 2.937 2.937 2.937
As 0.000 0.000 0.000
```


No. 7
Material: TcSnNO
Method: DFT, PBE
State: relaxed

Output
space-group type: No. 26
energy above the most stable polymorph in this dataset: 0.1131 eV per atom

Geometry as extended XYZ:
```
8
Lattice="2.965 0.000 0.000 0.000 6.290 0.000 0.000 0.000 6.562" Properties=species:S:1:pos:R:3 pbc="T T T"
Sn 1.483 1.154 2.905
O 1.483 4.928 3.936
N 0.000 2.493 4.697
Sn 1.483 5.136 6.186
Tc 0.000 2.552 6.481
N 0.000 3.797 1.416
O 1.483 1.362 0.655
Tc 0.000 3.738 3.200
```


No. 8
Material: PmNiB
Method: DFT, PBE
State: relaxed

Output
space-group type: No. 216
energy above the most stable polymorph in this dataset: 0.7477 eV per atom

Geometry as extended XYZ:
```
3
Lattice="-1.033 -3.277 2.725 -3.331 -2.685 -0.963 0.797 -4.152 -1.163" Properties=species:S:1:pos:R:3 pbc="T T T"
Ni -2.676 -7.585 0.450
B -0.892 -2.528 0.150
Pm 0.000 0.000 0.000
```


No. 9
Material: HfZnNiB
Method: DFT, PBE
State: relaxed

Output
space-group type: No. 216
energy above the most stable polymorph in this dataset: 0.0000 eV per atom

Geometry as extended XYZ:
```
4
Lattice="0.000 2.950 2.950 2.950 0.000 2.950 2.950 2.950 0.000" Properties=species:S:1:pos:R:3 pbc="T T T"
Hf 1.475 1.475 1.475
B 0.000 0.000 0.000
Zn 4.424 4.424 4.424
Ni 2.950 2.950 2.950
```


No. 10
Material: Nb4SbPN2
Method: DFT, PBE
State: relaxed

Output
space-group type: No. 187
raw total energy: -72.1 eV/f.u.

Geometry as extended XYZ:
```
8
Lattice="3.324 0.000 0.000 -1.662 2.878 0.000 0.000 0.000 12.311" Properties=species:S:1:pos:R:3 pbc="T T T"
Nb 1.662 0.959 10.607
Nb 0.000 0.000 8.392
Nb 0.000 0.000 3.919
Sb 1.662 0.959 6.155
N 0.000 1.919 9.384
Nb 1.662 0.959 1.703
N 0.000 1.919 2.927
P 0.000 0.000 0.000
```


No. 11
Material: HoF3
Method: DFT, PBE
State: relaxed

Output
space-group type: No. 12
raw total energy: -26.3 eV/f.u.

Geometry as extended XYZ:
```
8
Lattice="-4.248 4.427 -1.183 -0.285 -3.078 5.430 3.452 1.731 -0.104" Properties=species:S:1:pos:R:3 pbc="T T T"
F -3.225 2.815 2.067
F -0.822 2.337 3.144
Ho -0.923 -1.869 4.365
F 2.145 0.266 2.076
Ho -3.609 3.218 -0.118
F 0.760 2.890 -0.236
F -1.840 0.191 4.379
F -0.258 0.744 0.999
```


No. 12
Material: Gd2CoSi2
Method: DFT, PBE
State: relaxed

Output
space-group type: No. 12
raw total energy: -31.0 eV/f.u.

Geometry as extended XYZ:
```
10
Lattice="-3.471 -1.389 -1.819 0.723 -0.700 -5.596 4.173 -7.567 2.568" Properties=species:S:1:pos:R:3 pbc="T T T"
Si -1.103 -1.746 -1.313
Gd 0.317 -1.563 -4.162
Co 1.689 -5.114 0.684
Gd 3.284 -5.561 -2.019
Si 1.146 -4.280 -3.669
Gd 1.109 -8.093 -0.686
Gd -1.858 -4.096 -2.829
Co -0.263 -4.542 -5.531
Si 2.528 -7.910 -3.534
Si 0.279 -5.377 -1.178
```


No. 13
Material: PaIn2Sn
Method: DFT, PBE
State: relaxed

Output
space-group type: No. 123
raw total energy: -19.8 eV/f.u.

Geometry as extended XYZ:
```
4
Lattice="-1.990 4.118 0.120 -3.952 -1.871 -1.346 -1.221 -0.723 4.588" Properties=species:S:1:pos:R:3 pbc="T T T"
Pa -3.581 0.762 1.680
In -1.976 -0.935 -0.673
In -0.995 2.059 0.060
Sn -0.610 -0.362 2.294
```


No. 14
Material: Ta2Tl
Method: DFT, PBE
State: relaxed

Output
space-group type: No. 227
raw total energy: -13.5 eV/f.u.

Geometry as extended XYZ:
```
6
Lattice="4.399 2.540 7.184 -4.399 2.540 7.184 0.000 -5.080 7.184" Properties=species:S:1:pos:R:3 pbc="T T T"
Tl 0.000 0.000 10.776
Ta 0.000 -2.540 11.674
Ta 2.200 1.270 11.674
Tl 0.000 0.000 5.388
Ta 0.000 0.000 8.082
Ta -2.200 1.270 11.674
```


No. 15
Material: SmInAu2
Method: DFT, PBE
State: relaxed

Output
space-group type: No. 38
raw total energy: -16.3 eV/f.u.

Geometry as extended XYZ:
```
4
Lattice="-1.198 2.745 -3.498 -4.840 -2.883 -0.606 -5.361 -0.001 1.835" Properties=species:S:1:pos:R:3 pbc="T T T"
In -6.558 -1.854 0.790
Au -1.445 1.133 -1.647
Au -9.353 -2.644 1.127
Sm -4.242 0.343 -1.310
```


No. 16
Material: HfHg2Pd
Method: DFT, PBE
State: relaxed

Output
space-group type: No. 216
energy of formation: -0.156 eV per atom

Geometry as extended XYZ:
```
4
Lattice="-1.360 -2.708 3.694 1.124 1.302 4.458 -3.409 1.548 2.969" Properties=species:S:1:pos:R:3 pbc="T T T"
Hg -0.911 0.035 2.780
Hg 0.000 0.000 0.000
Hf -1.823 0.071 5.560
Pd -2.734 0.106 8.341
```


No. 17
Material: ZnH2O3
Method: DFT, PBE
State: relaxed

Output
space-group type: No. 12
raw total energy: -23.1 eV/f.u.

Geometry as extended XYZ:
```
12
Lattice="-2.613 -3.633 0.186 -2.613 3.633 0.186 2.102 0.000 -4.639" Properties=species:S:1:pos:R:3 pbc="T T T"
H 1.051 0.000 -2.319
O 0.453 -0.790 -3.444
H -1.562 -0.577 -2.134
Zn -2.613 -2.343 0.186
O -3.576 0.790 -0.823
O -2.116 0.000 -3.081
H -2.613 0.000 0.186
O -1.007 0.000 -1.186
O -3.576 -0.790 -0.823
H -1.562 0.577 -2.134
O 0.453 0.790 -3.444
Zn -2.613 2.343 0.186
```


No. 18
Material: TbTmCo2Pb
Method: DFT, PBE
State: relaxed

Output
space-group type: No. 38
raw total energy: -28.7 eV/f.u.

Geometry as extended XYZ:
```
5
Lattice="3.826 0.000 0.000 0.000 1.919 7.050 0.000 -1.919 7.050" Properties=species:S:1:pos:R:3 pbc="T T T"
Co 0.000 0.000 2.930
Co 0.000 0.000 11.212
Pb 0.000 0.000 14.078
Tb 1.913 0.000 9.029
Tm 1.913 0.000 5.054
```


No. 19
Material: TmZrS2O
Method: DFT, PBE
State: relaxed

Output
space-group type: No. 12
raw total energy: -37.7 eV/f.u.

Geometry as extended XYZ:
```
10
Lattice="5.968 -1.749 0.000 5.968 1.749 0.000 -0.761 0.000 8.527" Properties=species:S:1:pos:R:3 pbc="T T T"
O 1.283 0.000 8.013
Tm 8.175 0.000 6.915
Zr 0.000 0.000 0.000
S 4.445 0.000 6.682
S 1.332 0.000 4.991
S 6.730 0.000 1.846
O 9.892 0.000 0.514
Zr 5.587 0.000 4.264
S 9.842 0.000 3.536
Tm 3.000 0.000 1.612
```


No. 20
Material: PuHfTh
Method: DFT, PBE
State: relaxed

Output
space-group type: No. 216
energy above the most stable polymorph in this dataset: 0.0000 eV per atom
energy of formation: 0.762 eV per atom

Geometry as extended XYZ:
```
3
Lattice="0.000 3.547 3.547 3.547 0.000 3.547 3.547 3.547 0.000" Properties=species:S:1:pos:R:3 pbc="T T T"
Th 5.321 5.321 5.321
Hf 0.000 0.000 0.000
Pu 1.774 1.774 1.774
```


No. 21
Material: SrAl5CuPt
Method: DFT, PBE
State: relaxed

Output
space-group type: No. 44
raw total energy: -34.6 eV/f.u.

Geometry as extended XYZ:
```
8
Lattice="-2.040 3.659 4.972 2.040 -3.659 4.972 2.040 3.659 -4.972" Properties=species:S:1:pos:R:3 pbc="T T T"
Al 0.000 0.000 9.892
Pt 0.000 0.000 2.369
Al 0.000 2.290 3.464
Sr 0.000 3.659 0.026
Al 0.000 2.269 6.517
Al 2.040 1.369 -1.508
Al 2.040 1.390 1.544
Cu 0.000 0.000 7.531
```


No. 22
Material: CuReSn2
Method: DFT, PBE
State: relaxed

Output
space-group type: No. 216
raw total energy: -20.7 eV/f.u.

Geometry as extended XYZ:
```
4
Lattice="1.282 -4.233 1.639 -2.953 -2.466 2.729 -2.059 -3.900 -1.674" Properties=species:S:1:pos:R:3 pbc="T T T"
Cu -0.932 -2.650 0.673
Re -1.865 -5.299 1.347
Sn 0.000 0.000 0.000
Sn -2.797 -7.949 2.020
```